A plane-wave DFT calculation with PBE was carried out for a relaxed Ti2IrS6 crystal.

Calculated values
Formation energy without anion corrections: -0.945 eV/atom
Total magnetization: 0.000 μB/f.u.

```
data_Ti2IrS6
_space_group_name_H-M_alt 'C 1 2/m 1'
_space_group_IT_number 12
_cell_length_a 16.531
_cell_length_b 3.424
_cell_length_c 7.567
_cell_angle_alpha 90.00
_cell_angle_beta 116.20
_cell_angle_gamma 90.00
loop_
_space_group_symop_operation_xyz
'x,y,z'
'-x,-y,-z'
'-x,y,-z'
'x,-y,z'
'x+1/2,y+1/2,z'
'-x+1/2,-y+1/2,-z'
'-x+1/2,y+1/2,-z'
'x+1/2,-y+1/2,z'
loop_
_atom_site_label
_atom_site_fract_x
_atom_site_fract_y
_atom_site_fract_z
_atom_site_occupancy
Ti1 0.157 0.000 0.313 1
Ir1 0.000 0.500 0.000 1
S1 0.002 0.000 0.225 1
S2 0.160 0.500 0.091 1
S3 0.175 0.500 0.558 1
```